LiThIn6 | GGA-PBE | optimized geometry

a b c (Å): 4.5218 6.7040 6.7040
angles (deg): 90.10 90.00 90.00
Last column: nearest neighbours and their distance in Å.
Fractional coordinates of all 8 atoms:
In: 0.0000 0.2374 0.2374  8 In 3.19-3.52, 2 Li 3.19, 2 Th 3.36
In: 0.0000 0.2381 0.7619  8 In 3.19-3.52, 2 Li 3.20, 2 Th 3.36
In: 0.0000 0.7626 0.7626  8 In 3.19-3.52, 2 Li 3.19, 2 Th 3.36
In: 0.5000 0.0000 0.5000  8 In 3.28, 2 Li 3.35, 2 Th 3.35
In: 0.0000 0.7619 0.2381  8 In 3.19-3.52, 2 Li 3.20, 2 Th 3.36
In: 0.5000 0.5000 0.0000  8 In 3.28, 2 Th 3.35, 2 Li 3.35
Th: 0.5000 0.5000 0.5000  12 In 3.35-3.36
Li: 0.5000 0.0000 0.0000  12 In 3.19-3.35

For the formation energy, the calculation gives -152.3 kJ/mol of formula units. For the volume, the calculation gives 203.22 Å³/cell.